The following is a DFT calculation (PBE-GGA) of a relaxed Ce3MnCo8 crystal.

For the calculated total energy, the calculation gives -0.5244 Ry per atom. The crystal system is trigonal.

The structure in CIF format:
```
data_Ce3MnCo8
_chemical_formula_sum 'Ce9 Mn3 Co24'
_symmetry_space_group_name_H-M 'R 3 m'
_symmetry_Int_Tables_number 160
_symmetry_space_group_name_Hall 'R 3 -2"'
_cell_length_a 4.9466
_cell_length_b 4.9466
_cell_length_c 24.4285
_cell_angle_alpha 90.00
_cell_angle_beta 90.00
_cell_angle_gamma 120.00
loop_
_atom_site_label
_atom_site_type_symbol
_atom_site_fract_x
_atom_site_fract_y
_atom_site_fract_z
_atom_site_occupancy
Ce1 Ce 0.0000 0.0000 0.0000 1
Ce2 Ce 0.0000 0.0000 0.1282 1
Ce3 Ce 0.0000 0.0000 0.6211 1
Mn1 Mn 0.0000 0.0000 0.4992 1
Co1 Co 0.0000 0.0000 0.3125 1
Co2 Co 0.0000 0.0000 0.8136 1
Co3 Co 0.0052 0.5026 0.0656 1
Co4 Co 0.1678 0.3356 0.8929 1
```


The following is a DFT calculation (PBE-GGA) of a relaxed ScNb2C2 crystal.

For the calculated total energy, the calculation gives -0.6989 Ry per atom. The crystal system is monoclinic.

The structure in CIF format:
```
data_ScNb2C2
_chemical_formula_sum 'Sc4 Nb8 C8'
_symmetry_space_group_name_H-M 'C 1 2/c 1'
_symmetry_Int_Tables_number 15
_cell_length_a 5.5807
_cell_length_b 9.5720
_cell_length_c 5.5754
_cell_angle_alpha 90.00
_cell_angle_beta 110.46
_cell_angle_gamma 90.00
loop_
_symmetry_equiv_pos_as_xyz
'x,y,z'
'-x,-y,-z'
'-x,y,-z+1/2'
'x,-y,z+1/2'
'x+1/2,y+1/2,z'
'-x+1/2,-y+1/2,-z'
'-x+1/2,y+1/2,-z+1/2'
'x+1/2,-y+1/2,z+1/2'
loop_
_atom_site_label
_atom_site_type_symbol
_atom_site_fract_x
_atom_site_fract_y
_atom_site_fract_z
_atom_site_occupancy
Sc1 Sc 0.0000 0.0816 0.2500 1
Nb1 Nb 0.0000 0.2445 0.7500 1
Nb2 Nb 0.0000 0.4391 0.2500 1
C1 C 0.2409 0.4134 0.0026 1
```


The following is a DFT calculation (PBE-GGA) of a relaxed CsRb2BeF6 crystal.

The crystal system is cubic. The calculation puts the energy relative to the elements, uncorrected at -2.426 eV per atom.

The structure in CIF format:
```
data_CsRb2BeF6
_chemical_formula_sum 'Cs4 Rb8 Be4 F24'
_symmetry_space_group_name_H-M 'F m -3 m'
_symmetry_Int_Tables_number 225
_symmetry_space_group_name_Hall '-F 4 2 3'
_cell_length_a 8.6058
_cell_length_b 8.6058
_cell_length_c 8.6058
_cell_angle_alpha 90.00
_cell_angle_beta 90.00
_cell_angle_gamma 90.00
loop_
_atom_site_label
_atom_site_type_symbol
_atom_site_fract_x
_atom_site_fract_y
_atom_site_fract_z
_atom_site_occupancy
Cs1 Cs 0.0000 0.0000 0.0000 1
Rb1 Rb 0.2500 0.2500 0.2500 1
Be1 Be 0.0000 0.0000 0.5000 1
F1 F 0.0000 0.0000 0.2986 1
```


The following is a DFT calculation (PBE-GGA) of a relaxed LiCa2Nd3Se6 crystal.

The crystal system is monoclinic. The calculation puts the energy relative to the elements, uncorrected at -1.835 eV per atom.

The structure in CIF format:
```
data_LiCa2Nd3Se6
_chemical_formula_sum 'Li2 Ca4 Nd6 Se12'
_symmetry_space_group_name_H-M 'C 1 2/m 1'
_symmetry_Int_Tables_number 12
_cell_length_a 7.2265
_cell_length_b 12.5197
_cell_length_c 7.3158
_cell_angle_alpha 90.00
_cell_angle_beta 109.24
_cell_angle_gamma 90.00
loop_
_symmetry_equiv_pos_as_xyz
'x,y,z'
'-x,-y,-z'
'-x,y,-z'
'x,-y,z'
'x+1/2,y+1/2,z'
'-x+1/2,-y+1/2,-z'
'-x+1/2,y+1/2,-z'
'x+1/2,-y+1/2,z'
loop_
_atom_site_label
_atom_site_type_symbol
_atom_site_fract_x
_atom_site_fract_y
_atom_site_fract_z
_atom_site_occupancy
Li1 Li 0.0000 0.0000 0.0000 1
Ca1 Ca 0.0000 0.3337 0.0000 1
Nd1 Nd 0.0000 0.1675 0.5000 1
Nd2 Nd 0.0000 0.5000 0.5000 1
Se1 Se 0.2445 0.1640 0.2418 1
Se2 Se 0.2471 0.0000 0.7573 1
```


- Number 2 is which compound?
  ScNb2C2